Arrangement w

DFT (PBE-GGA) results for LiLa2InH after structural relaxation.

a b c (Å): 4.929 4.929 4.858
angles (deg): 90.00 90.00 90.00
Positions (direct):
Li 0.000 0.000 0.000
La 0.000 0.500 0.500
La 0.500 0.000 0.500
In 0.500 0.500 0.000
H 0.500 0.500 0.500

Results
* M_tot: 0.0 μB per formula unit

***

Arrangement x

DFT (PBE-GGA) results for LiLa2InH after structural relaxation.

a b c (Å): 5.191 5.191 4.352
angles (deg): 90.00 90.00 90.00
Positions (direct):
Li 0.000 0.000 0.000
La 0.000 0.500 0.500
La 0.500 0.000 0.500
In 0.500 0.500 0.000
H 0.000 0.000 0.500

Results
* M_tot: 0.0 μB per formula unit

***

arrangement x is preferred energetically. Next in line: 0.156 eV/atom higher.